1.
Density functional theory data (PBE) for an optimized crystal structure of NdY3Sb4.

CIF file:
```
data_NdY3Sb4
_cell_length_a 6.256
_cell_length_b 6.256
_cell_length_c 6.256
_cell_angle_alpha 90.00
_cell_angle_beta 90.00
_cell_angle_gamma 90.00
_space_group_name_H-M_alt 'P m -3 m'
_space_group_IT_number 221
_space_group_name_Hall '-P 4 2 3'
loop_
_atom_site_label
_atom_site_fract_x
_atom_site_fract_y
_atom_site_fract_z
Nd1 0.000 0.000 0.000
Y1 0.000 0.500 0.500
Sb1 0.000 0.000 0.500
Sb2 0.500 0.500 0.500
```

uncorrected formation energy: -901 kJ/mol of formula units
spin magnetization: 0.00 μB/cell
DOS(E_F): 0.55 states/eV/cell


2.
Density functional theory data (PBE) for an optimized crystal structure of Nd5YSb5.

CIF file:
```
data_Nd5YSb5
_cell_length_a 14.103
_cell_length_b 6.323
_cell_length_c 8.920
_cell_angle_alpha 90.00
_cell_angle_beta 108.61
_cell_angle_gamma 90.00
_space_group_name_H-M_alt 'C 1 2/m 1'
_space_group_IT_number 12
_space_group_name_Hall '-C 2y'
loop_
_atom_site_label
_atom_site_fract_x
_atom_site_fract_y
_atom_site_fract_z
Nd1 0.000 0.000 0.000
Nd2 0.165 0.500 0.333
Nd3 0.170 0.500 0.832
Y1 0.000 0.000 0.500
Sb1 0.000 0.500 0.500
Sb2 0.165 0.000 0.336
Sb3 0.165 0.000 0.831
```

uncorrected formation energy: -1059 kJ/mol of formula units
spin magnetization: 0.00 μB/cell
DOS(E_F): 14.41 states/eV/cell


3.
Density functional theory data (PBE) for an optimized crystal structure of NdY3Sb3.

CIF file:
```
data_NdY3Sb3
_cell_length_a 9.1188
_cell_length_b 9.1188
_cell_length_c 18.4652
_cell_angle_alpha 90.00
_cell_angle_beta 90.00
_cell_angle_gamma 120.00
_space_group_name_H-M_alt 'R -3'
_space_group_IT_number 148
_space_group_name_Hall '-R 3'
loop_
_atom_site_label
_atom_site_fract_x
_atom_site_fract_y
_atom_site_fract_z
Nd1 0.0000 0.0000 0.1659
Y1 0.0027 0.7344 0.5852
Sb1 0.0039 0.6231 0.4180
```

uncorrected formation energy: -632 kJ/mol of formula units
energy above the lowest structure with this stoichiometry: 96 meV per atom
spin magnetization: 0.00 μB/cell
DOS(E_F): 25.66 states/eV/cell